(1)
Entry from OQMD via LeMat-Bulk: a relaxed structure of DyBeB4 (PBE).

abc: 3.107 3.107 6.682
angles: 90.00 90.00 120.00
Element x y z (fractional)
1 Dy 0.000 0.000 0.000
2 Be 0.000 0.000 0.500
3 B 0.333 0.667 0.296
4 B 0.333 0.667 0.704
5 B 0.667 0.333 0.296
6 B 0.667 0.333 0.704

Results
The relative energy among the computed polymorphs is 0 meV/atom. The symmetry is No. 191.



(2)
Entry from OQMD via LeMat-Bulk: a relaxed structure of DyBeB (PBE).

abc: 4.013 4.013 4.013
angles: 60.00 60.00 60.00
Element x y z (fractional)
1 Dy 0.000 0.000 0.000
2 Be 0.500 0.500 0.500
3 B 0.750 0.750 0.750

Results
The relative energy among the computed polymorphs is 0 meV/atom. The symmetry is No. 216.



(3)
Entry from OQMD via LeMat-Bulk: a relaxed structure of DyBeB4 (PBE).

abc: 4.837 4.837 4.837
angles: 141.81 114.97 77.99
Element x y z (fractional)
1 Dy 0.000 0.000 0.000
2 Be 0.500 0.500 0.000
3 B 0.067 0.741 0.326
4 B 0.416 0.741 0.674
5 B 0.584 0.259 0.326
6 B 0.933 0.259 0.674

Results
The relative energy among the computed polymorphs is 90 meV/atom. The symmetry is No. 71.



(4)
Entry from OQMD via LeMat-Bulk: a relaxed structure of ErBeB (PBE).

abc: 3.973 3.973 3.973
angles: 60.00 60.00 60.00
Element x y z (fractional)
1 Er 0.000 0.000 0.000
2 Be 0.500 0.500 0.500
3 B 0.750 0.750 0.750

Results
The relative energy among the computed polymorphs is 0 meV/atom. The symmetry is No. 216.



(5)
Entry from OQMD via LeMat-Bulk: a relaxed structure of BeFe2B2 (PBE).

abc: 5.251 5.251 2.828
angles: 90.00 90.00 90.00
Element x y z (fractional)
1 Be 0.000 0.000 0.000
2 Be 0.500 0.500 0.000
3 Fe 0.174 0.326 0.500
4 Fe 0.326 0.826 0.500
5 Fe 0.674 0.174 0.500
6 Fe 0.826 0.674 0.500
7 B 0.120 0.620 0.000
8 B 0.380 0.120 0.000
9 B 0.620 0.880 0.000
10 B 0.880 0.380 0.000

Results
The symmetry is No. 127. Its raw total energy is -7.16 eV per atom.



(6)
Entry from OQMD via LeMat-Bulk: a relaxed structure of BeFeB4 (PBE).

abc: 2.917 2.917 6.096
angles: 90.00 90.00 120.00
Element x y z (fractional)
1 Be 0.000 0.000 0.000
2 Fe 0.000 0.000 0.500
3 B 0.333 0.667 0.237
4 B 0.333 0.667 0.763
5 B 0.667 0.333 0.237
6 B 0.667 0.333 0.763

Results
The relative energy among the computed polymorphs is 32 meV/atom. The symmetry is No. 191.